Entry 1:
Compound: Sc2SbIrC
Source: the Alexandria database
Functional: PBE
Structure: relaxed

abc: 4.5986 4.5986 4.0492
angles: 90.00 90.00 90.00
With the nearest neighbours (Å) after each atom.
Atoms (fractional coordinates):
C 0.0000 0.0000 0.0000  2 Ir 2.02
Sb 0.5000 0.5000 0.5000  8 Sc 3.06, 4 Ir 3.25
Sc 0.0000 0.5000 0.0000  2 C 2.30
Sc 0.5000 0.0000 0.0000  2 C 2.30
Ir 0.0000 0.0000 0.5000  2 C 2.02

As for the formation energy (no corrections): -0.54 eV per atom. The calculation puts the density at 8.07 g cm⁻³.

=====

Entry 2:
Compound: YTa2CoI
Source: the Alexandria database
Functional: PBE
Structure: relaxed

abc: 4.6187 4.6187 5.4932
angles: 90.00 90.00 90.00
With the nearest neighbours (Å) after each atom.
Atoms (fractional coordinates):
Y 0.0000 0.0000 0.5000  2 Co 2.75
Co 0.0000 0.0000 0.0000  4 Ta 2.31
Ta 0.0000 0.5000 0.0000  2 Co 2.31
Ta 0.5000 0.0000 0.0000  2 Co 2.31
I 0.5000 0.5000 0.5000  4 Y 3.27, 8 Ta 3.59

As for the formation energy (no corrections): 0.56 eV per atom. The calculation puts the density at 9.02 g cm⁻³.